[1]
Computed, not measured: a geometry-optimized Li2Tm2Ni15 structure at the PBE level of DFT.

a = 6.227 Å, b = 6.227 Å, c = 6.227 Å
α = 83.05°, β = 83.05°, γ = 83.05°
Each line ends with the local moment (μB).
Fractional positions:
Li 0.094 0.094 0.094  -0.01
Li 0.906 0.906 0.906  -0.01
Ni 0.500 0.000 0.000  0.39
Ni 0.693 0.307 0.000  0.33
Ni 0.000 0.500 0.000  0.38
Ni 0.307 0.693 0.000  0.33
Ni 0.656 0.656 0.159  0.35
Ni 0.693 0.000 0.307  0.33
Ni 0.000 0.693 0.307  0.32
Ni 0.841 0.344 0.344  0.36
Ni 0.344 0.841 0.344  0.34
Ni 0.000 0.000 0.500  0.39
Ni 0.656 0.159 0.656  0.34
Ni 0.159 0.656 0.656  0.36
Ni 0.307 0.000 0.693  0.33
Ni 0.000 0.307 0.693  0.32
Ni 0.344 0.344 0.841  0.35
Tm 0.344 0.344 0.344  -0.10
Tm 0.656 0.656 0.656  -0.10

Summary:
**DFT total energy**: -0.3903 Ry/atom


[2]
Computed, not measured: a geometry-optimized LiUNi structure at the PBE level of DFT.

a = 4.308 Å, b = 4.308 Å, c = 4.308 Å
α = 60.00°, β = 60.00°, γ = 60.00°
Each line ends with the local moment (μB).
Fractional positions:
Li 0.000 0.000 0.000  0.09
Ni 0.250 0.250 0.250  0.01
U 0.500 0.500 0.500  2.44

Summary:
**Offset from the most stable computed form**: 0.0 meV/atom